Entry 1:
This record from the Alexandria database describes crystalline Tm3Zn9Ge2 at its relaxed geometry. The functional is PBE-GGA.

abc: 4.2634 9.7169 12.0775
angles: 90.00 90.00 90.00
With the nearest neighbours (Å) after each atom.
Space group Immm (No. 71)
Inequivalent atoms, fractional coordinates:
1 Tm 0.0000 0.0000 0.0000 (multiplicity 2)  12 Zn 3.11-3.18
2 Tm 0.0000 0.0000 0.3060 (multiplicity 4)  2 Ge 3.03, 12 Zn 3.05-3.27
3 Zn 0.0000 0.2717 0.1468 (multiplicity 8)  4 Zn 2.56-2.84, 2 Ge 2.79
4 Zn 0.0000 0.3737 0.3430 (multiplicity 8)  4 Zn 2.45-2.57, 1 Ge 2.55
5 Zn 0.0000 0.5000 0.0000 (multiplicity 2)  4 Zn 2.84, 4 Ge 2.87, 4 Tm 3.17
6 Ge 0.0000 0.1983 0.5000 (multiplicity 4)  6 Zn 2.55-2.79

Energy of formation from the pure elements = -328 meV per atom

Entry 2:
This record from the Alexandria database describes crystalline TbPr2Ho6 at its relaxed geometry. The functional is PBE-GGA.

abc: 12.8489 14.2605 6.5873
angles: 90.00 103.64 90.00
With the nearest neighbours (Å) after each atom.
Space group C2/c (No. 15)
Inequivalent atoms, fractional coordinates:
1 Tb 0.0000 0.1176 0.2500 (multiplicity 4)  8 Ho 3.28-3.67
2 Pr 0.1438 0.4734 0.3747 (multiplicity 8)  3 Pr 3.38-3.67, 7 Ho 3.42-3.69
3 Ho 0.0348 0.3108 0.0028 (multiplicity 8)  5 Ho 3.24-3.58, 1 Tb 3.28, 3 Pr 3.42-3.56
4 Ho 0.1314 0.0898 0.8156 (multiplicity 8)  3 Ho 3.28-3.44, 2 Tb 3.38-3.67, 2 Pr 3.53
5 Ho 0.2405 0.2979 0.7317 (multiplicity 8)  7 Ho 3.38-3.74, 2 Pr 3.46-3.69, 1 Tb 3.52

Energy of formation from the pure elements = 113 meV per atom
ΔE to the lowest computed polymorph = 0 meV/atom

Entry 3:
This record from the Alexandria database describes crystalline TbPr4Sm2Er2 at its relaxed geometry. The functional is PBE-GGA.

abc: 15.4463 5.1453 8.0978
angles: 90.00 108.55 90.00
With the nearest neighbours (Å) after each atom.
Space group C2/m (No. 12)
Inequivalent atoms, fractional coordinates:
1 Tb 0.0000 0.0000 0.0000 (multiplicity 2)  6 Pr 3.61-3.62, 2 Sm 3.61, 4 Er 3.65
2 Pr 0.0542 0.5000 0.3300 (multiplicity 4)  2 Er 3.61-3.63, 2 Tb 3.61, 4 Sm 3.63-3.67, 4 Pr 3.65-3.67
3 Pr 0.2223 0.0000 0.3298 (multiplicity 4)  3 Er 3.59-3.61, 1 Tb 3.62, 3 Sm 3.63-3.68, 5 Pr 3.66-3.67
4 Sm 0.1116 0.0000 0.6701 (multiplicity 4)  3 Er 3.61, 1 Tb 3.61, 7 Pr 3.63-3.68, 1 Sm 3.67
5 Er 0.1674 0.5000 0.9995 (multiplicity 4)  5 Pr 3.59-3.63, 3 Sm 3.61, 2 Er 3.62, 2 Tb 3.65

Energy of formation from the pure elements = 22 meV per atom

Entry 4:
This record from the Alexandria database describes crystalline RbScCuO3 at its relaxed geometry. The functional is PBE-GGA.

abc: 7.3770 3.3453 8.4205
angles: 90.00 108.58 90.00
With the nearest neighbours (Å) after each atom.
Space group P2_1/m (No. 11)
Inequivalent atoms, fractional coordinates:
1 Rb 0.2046 0.2500 0.2278 (multiplicity 2)  5 O 2.88-3.16
2 Sc 0.3444 0.7500 0.8686 (multiplicity 2)  5 O 2.02-2.18
3 Cu 0.1289 0.2500 0.6001 (multiplicity 2)  3 O 1.84-1.98
4 O 0.1489 0.2500 0.8404 (multiplicity 2)  1 Cu 1.98, 2 Sc 2.17
5 O 0.2176 0.7500 0.5709 (multiplicity 2)  2 Cu 1.84
6 O 0.4621 0.7500 0.1210 (multiplicity 2)  3 Sc 2.02-2.18

Energy relative to the elements, uncorrected = -182.52 kJ/mol of atoms

Entry 5:
This record from the Alexandria database describes crystalline TmSc2C2 at its relaxed geometry. The functional is PBE-GGA.

abc: 3.4782 4.6377 10.6535
angles: 90.00 90.00 90.00
With the nearest neighbours (Å) after each atom.
Space group Immm (No. 71)
Inequivalent atoms, fractional coordinates:
1 Tm 0.0000 0.0000 0.0000 (multiplicity 2)  4 C 2.48
2 Sc 0.0000 0.0000 0.3054 (multiplicity 4)  4 C 2.29-2.34
3 C 0.0000 0.5000 0.3343 (multiplicity 4)  4 Sc 2.29-2.34, 2 Tm 2.48

Energy of formation from the pure elements = -416 meV per atom

Entry 6:
This record from the Alexandria database describes crystalline LaHfIr2 at its relaxed geometry. The functional is PBE-GGA.

abc: 3.2323 3.2323 7.6481
angles: 90.00 90.00 90.00
With the nearest neighbours (Å) after each atom.
Space group P4/mmm (No. 123)
Inequivalent atoms, fractional coordinates:
1 La 0.0000 0.0000 0.0000 (multiplicity 1)  8 Ir 3.20, 4 La 3.23
2 Hf 0.0000 0.0000 0.5000 (multiplicity 1)  8 Ir 2.78
3 Ir 0.5000 0.5000 0.2928 (multiplicity 2)  4 Hf 2.78

Energy of formation from the pure elements = -758 meV per atom

Entry 7:
This record from the Alexandria database describes crystalline HfTeIN2 at its relaxed geometry. The functional is PBE-GGA.

abc: 4.1489 4.1489 5.9001
angles: 90.00 90.00 90.00
With the nearest neighbours (Å) after each atom.
Space group P4/mmm (No. 123)
Inequivalent atoms, fractional coordinates:
1 Hf 0.0000 0.0000 0.0000 (multiplicity 1)  4 I 2.93
2 Te 0.5000 0.5000 0.5000 (multiplicity 1)  4 N 2.07
3 I 0.5000 0.5000 0.0000 (multiplicity 1)  4 Hf 2.93, 2 Te 2.95
4 N 0.0000 0.5000 0.5000 (multiplicity 2)  2 Te 2.07

Energy relative to the elements, uncorrected = 159.12 kJ/mol of atoms
ΔE to the lowest computed polymorph = 1208 meV/atom

Entry 8:
This record from the Alexandria database describes crystalline AlSi2SbMo at its relaxed geometry. The functional is PBE-GGA.

abc: 4.7439 4.7439 5.3039
angles: 90.00 90.00 90.00
With the nearest neighbours (Å) after each atom.
Space group P4/mmm (No. 123)
Inequivalent atoms, fractional coordinates:
1 Al 0.0000 0.0000 0.0000 (multiplicity 1)  4 Sb 3.35, 8 Si 3.56
2 Si 0.0000 0.5000 0.5000 (multiplicity 2)  2 Mo 2.37
3 Sb 0.5000 0.5000 0.0000 (multiplicity 1)  2 Mo 2.65
4 Mo 0.5000 0.5000 0.5000 (multiplicity 1)  4 Si 2.37, 2 Sb 2.65

Energy relative to the elements, uncorrected = 58.39 kJ/mol of atoms

Entry 9:
This record from the Alexandria database describes crystalline CeNb4Ru5 at its relaxed geometry. The functional is PBE-GGA.

abc: 3.1278 3.1278 17.3861
angles: 90.00 90.00 90.00
With the nearest neighbours (Å) after each atom.
Space group P4/mmm (No. 123)
Inequivalent atoms, fractional coordinates:
1 Ce 0.0000 0.0000 0.0000 (multiplicity 1)  8 Ru 3.12, 4 Ce 3.13
2 Nb 0.0000 0.0000 0.2113 (multiplicity 2)  8 Ru 2.66-2.80
3 Nb 0.0000 0.0000 0.4042 (multiplicity 2)  8 Ru 2.75-2.77
4 Ru 0.5000 0.5000 0.1266 (multiplicity 2)  4 Nb 2.66
5 Ru 0.5000 0.5000 0.3102 (multiplicity 2)  8 Nb 2.75-2.80
6 Ru 0.5000 0.5000 0.5000 (multiplicity 1)  8 Nb 2.77

Energy of formation from the pure elements = -248 meV per atom

Entry 10:
This record from the Alexandria database describes crystalline Ce9Pm4In11 at its relaxed geometry. The functional is PBE-GGA.

abc: 15.3414 25.0300 3.4938
angles: 90.00 90.00 90.00
With the nearest neighbours (Å) after each atom.
Space group Cmmm (No. 65)
Inequivalent atoms, fractional coordinates:
1 Ce 0.0000 0.0000 0.0000 (multiplicity 2)  4 In 3.40, 2 Ce 3.49, 4 Pm 3.55
2 Ce 0.0914 0.2209 0.0000 (multiplicity 8)  1 Ce 2.80
3 Ce 0.1053 0.4061 0.0000 (multiplicity 8)  3 Ce 3.23-3.49, 8 In 3.28-3.44, 1 Pm 3.30
4 Pm 0.1794 0.0897 0.0000 (multiplicity 8)  6 In 3.28-3.40, 3 Ce 3.30-3.55, 2 Pm 3.49
5 In 0.0000 0.1166 0.5000 (multiplicity 4)  4 Pm 3.33, 6 Ce 3.40-3.44, 2 In 3.49
6 In 0.0000 0.3158 0.5000 (multiplicity 4)  8 Ce 3.26-3.28, 4 In 3.39-3.49
7 In 0.0000 0.5000 0.5000 (multiplicity 2)  4 In 3.29-3.49, 8 Ce 3.35
8 In 0.2146 0.5000 0.5000 (multiplicity 4)  4 Pm 3.28, 3 In 3.29-3.49, 4 Ce 3.37
9 In 0.2206 0.3112 0.5000 (multiplicity 8)  4 In 3.20-3.49, 2 Pm 3.40, 6 Ce 3.44-3.48

Energy of formation from the pure elements = -324 meV per atom

Entry 11:
This record from the Alexandria database describes crystalline CuTe2PCl at its relaxed geometry. The functional is PBE-GGA.

abc: 5.4516 5.4516 4.5715
angles: 90.00 90.00 90.00
With the nearest neighbours (Å) after each atom.
Space group P4/mmm (No. 123)
Inequivalent atoms, fractional coordinates:
1 Cu 0.0000 0.0000 0.0000 (multiplicity 1)  8 Te 3.56, 4 P 3.85
2 Te 0.0000 0.5000 0.5000 (multiplicity 2)  2 Cl 2.73
3 P 0.5000 0.5000 0.0000 (multiplicity 1)  2 Cl 2.29
4 Cl 0.5000 0.5000 0.5000 (multiplicity 1)  2 P 2.29

Energy relative to the elements, uncorrected = 119.10 kJ/mol of atoms

Entry 12:
This record from the Alexandria database describes crystalline RbNaPu2I8 at its relaxed geometry. The functional is PBE-GGA.

abc: 7.6516 8.0025 9.4981
angles: 89.96 89.95 85.22
With the nearest neighbours (Å) after each atom.
Space group P-1 (No. 2)
Inequivalent atoms, fractional coordinates:
1 Rb 0.0000 0.0000 0.0000 (multiplicity 1)  6 I 3.53-3.84
2 Na 0.0000 0.0000 0.5000 (multiplicity 1)  4 I 3.21
3 Pu 0.5000 0.5001 0.2552 (multiplicity 2)  6 I 3.06-3.16
4 I 0.2714 0.3685 0.5002 (multiplicity 2)  2 Pu 3.14
5 I 0.2723 0.8318 0.7264 (multiplicity 2)  1 Pu 3.06, 1 Na 3.21
6 I 0.2726 0.8320 0.2734 (multiplicity 2)  1 Pu 3.06, 1 Na 3.21
7 I 0.2771 0.3793 0.0003 (multiplicity 2)  2 Pu 3.16

Energy relative to the elements, uncorrected = -109.54 kJ/mol of atoms

Magnetization values (in μB/cell) by entry order: 0.000, 0.000, 0.000, 0.002, 1.831, 0.000, 0.000, 0.000, 0.002, 15.736, 0.305, 10.000.